# 1
ErMg2Cd2 | PBE-GGA | optimized geometry

abc: 3.350 3.463 10.604
angles: 80.60 90.00 90.00
Site moments in Bohr magnetons follow the coordinates.
Sites, in units of the cell vectors:
Er (0.000, 0.000, 0.000)  0.21
Mg (0.000, 0.189, 0.623)  0.00
Mg (0.000, 0.811, 0.377)  0.00
Cd (0.500, 0.398, 0.204)  0.00
Cd (0.500, 0.602, 0.796)  0.00

- V (Å³/cell) = 121
- theoretical density (g/cm3) = 6.0
- uncorrected energy (eV for the cell shown) = -10.1
- offset from the most stable computed form (meV per atom) = 20

=====

# 2
ErMg3Cd9 | PBE-GGA | optimized geometry

abc: 6.018 7.573 7.587
angles: 80.82 66.63 66.28
Sites, in units of the cell vectors:
Er (0.000, 0.000, 0.000)
Mg (0.500, 0.500, 0.000)
Mg (0.000, 0.000, 0.500)
Mg (0.500, 0.000, 0.500)
Cd (0.707, 0.787, 0.785)
Cd (0.293, 0.213, 0.215)
Cd (0.508, 0.213, 0.785)
Cd (0.492, 0.787, 0.215)
Cd (0.652, 0.343, 0.347)
Cd (0.348, 0.657, 0.653)
Cd (0.001, 0.657, 0.347)
Cd (0.999, 0.343, 0.653)
Cd (0.000, 0.500, 0.000)

- V (Å³/cell) = 291
- theoretical density (g/cm3) = 7.2
- uncorrected energy (eV for the cell shown) = -19.1

=====

# 3
Er4Mg2Cd | PBE-GGA | optimized geometry

abc: 5.240 5.240 8.918
angles: 72.91 72.91 60.00
Sites, in units of the cell vectors:
Er (0.871, 0.871, 0.386)
Er (0.129, 0.129, 0.614)
Er (0.618, 0.618, 0.147)
Er (0.382, 0.382, 0.853)
Mg (0.745, 0.745, 0.764)
Mg (0.255, 0.255, 0.236)
Cd (0.000, 0.000, 0.000)

- V (Å³/cell) = 199
- theoretical density (g/cm3) = 6.9
- uncorrected energy (eV for the cell shown) = -21.8
- offset from the most stable computed form (meV per atom) = 43

=====

# 4
ErMg11Cd | PBE-GGA | optimized geometry

abc: 5.912 7.710 7.760
angles: 81.93 67.61 68.36
Sites, in units of the cell vectors:
Er (0.000, 0.000, 0.000)
Mg (0.290, 0.212, 0.210)
Mg (0.710, 0.788, 0.790)
Mg (0.501, 0.788, 0.210)
Mg (0.499, 0.212, 0.790)
Mg (0.348, 0.649, 0.652)
Mg (0.652, 0.351, 0.348)
Mg (0.000, 0.351, 0.652)
Mg (0.000, 0.649, 0.348)
Mg (0.000, 0.500, 0.000)
Mg (0.500, 0.000, 0.500)
Mg (0.000, 0.000, 0.500)
Cd (0.500, 0.500, 0.000)

- V (Å³/cell) = 304
- theoretical density (g/cm3) = 3.0
- uncorrected energy (eV for the cell shown) = -23.4

=====

# 5
ErMg4Cd15 | PBE-GGA | optimized geometry

abc: 4.575 4.575 21.318
angles: 90.00 90.00 90.00
Sites, in units of the cell vectors:
Er (0.000, 0.000, 0.000)
Mg (0.000, 0.000, 0.202)
Mg (0.000, 0.000, 0.402)
Mg (0.000, 0.000, 0.598)
Mg (0.000, 0.000, 0.798)
Cd (0.500, 0.500, 0.000)
Cd (0.500, 0.500, 0.205)
Cd (0.500, 0.500, 0.399)
Cd (0.500, 0.500, 0.601)
Cd (0.500, 0.500, 0.795)
Cd (0.500, 0.000, 0.105)
Cd (0.500, 0.000, 0.302)
Cd (0.500, 0.000, 0.500)
Cd (0.500, 0.000, 0.698)
Cd (0.500, 0.000, 0.895)
Cd (0.000, 0.500, 0.105)
Cd (0.000, 0.500, 0.302)
Cd (0.000, 0.500, 0.500)
Cd (0.000, 0.500, 0.698)
Cd (0.000, 0.500, 0.895)

- V (Å³/cell) = 446
- theoretical density (g/cm3) = 7.3
- uncorrected energy (eV for the cell shown) = -26.8

=====

# 6
ErMg15Cd4 | PBE-GGA | optimized geometry

abc: 4.582 4.582 21.591
angles: 90.00 90.00 90.00
Sites, in units of the cell vectors:
Er (0.000, 0.000, 0.000)
Mg (0.500, 0.500, 0.000)
Mg (0.500, 0.500, 0.208)
Mg (0.500, 0.500, 0.401)
Mg (0.500, 0.500, 0.599)
Mg (0.500, 0.500, 0.792)
Mg (0.500, 0.000, 0.108)
Mg (0.500, 0.000, 0.303)
Mg (0.500, 0.000, 0.500)
Mg (0.500, 0.000, 0.697)
Mg (0.500, 0.000, 0.892)
Mg (0.000, 0.500, 0.108)
Mg (0.000, 0.500, 0.303)
Mg (0.000, 0.500, 0.500)
Mg (0.000, 0.500, 0.697)
Mg (0.000, 0.500, 0.892)
Cd (0.000, 0.000, 0.203)
Cd (0.000, 0.000, 0.402)
Cd (0.000, 0.000, 0.598)
Cd (0.000, 0.000, 0.797)

- V (Å³/cell) = 453
- theoretical density (g/cm3) = 3.6
- uncorrected energy (eV for the cell shown) = -33.5